No. 1
This record from Alexandria via LeMat-Bulk describes a relaxed structure of LaRe3Rh. The functional is PBE-GGA.

The structure in POSCAR format:
```
LaRe3Rh
1.0
4.722 0.000 0.000
0.000 4.722 0.000
0.000 0.000 4.722
La Re Rh
1 3 1
Direct
0.000 0.000 0.000
0.000 0.000 0.500
0.000 0.500 0.000
0.500 0.000 0.000
0.500 0.500 0.500
```

**Formation energy from the elements**: 3.07 eV/atom
**Uncorrected energy**: -34.29 eV/cell


No. 2
This record from Alexandria via LeMat-Bulk describes a relaxed structure of LaReRh2. The functional is PBE-GGA.

The structure in POSCAR format:
```
LaReRh2
1.0
2.911 0.000 0.000
0.000 4.772 0.000
0.000 0.000 10.422
La Re Rh
2 2 4
Direct
0.000 0.000 0.000
0.500 0.500 0.500
0.000 0.500 0.223
0.500 0.000 0.723
0.000 0.000 0.508
0.000 0.500 0.774
0.500 0.000 0.274
0.500 0.500 0.008
```

**Formation energy from the elements**: 0.13 eV/atom
**Uncorrected energy**: -63.13 eV/cell